1.
Density functional theory data (GGA-PBEsol) for a relaxed structure of Ta4Os.

Cell and atoms, written as POSCAR:
```
Ta4Os
1.0
3.184 0.000 0.000
1.592 5.126 0.000
1.592 0.000 5.126
Os Ta
1 4
Direct
0.000 0.000 0.000 Os
0.597 0.198 0.608 Ta
0.795 0.608 0.802 Ta
0.403 0.802 0.392 Ta
0.205 0.392 0.198 Ta
```

Values from the calculation:
- VASP energy: -12.723 eV per atom
- Total magnetic moment: 0.0 μB per cell
- Energy of formation from the pure elements: -0.238 eV per atom
- Space-group type: I4/m
- Crystal system: tetragonal



2.
Density functional theory data (GGA-PBEsol) for a relaxed structure of Ta2Os.

Cell and atoms, written as POSCAR:
```
Ta2Os
1.0
-4.574 -2.113 0.602
3.077 -4.292 8.312
-2.951 7.857 5.150
Os Ta
10 20
Direct
0.000 0.000 0.000 Os
0.500 0.500 0.500 Os
0.000 0.068 0.259 Os
0.000 0.932 0.741 Os
0.500 0.241 0.568 Os
0.500 0.759 0.432 Os
0.500 0.432 0.759 Os
0.500 0.568 0.241 Os
0.000 0.259 0.068 Os
0.000 0.741 0.932 Os
0.000 0.397 0.603 Ta
0.000 0.603 0.397 Ta
0.500 0.897 0.897 Ta
0.500 0.103 0.103 Ta
0.000 0.130 0.536 Ta
0.000 0.870 0.464 Ta
0.500 0.964 0.630 Ta
0.500 0.036 0.370 Ta
0.500 0.370 0.036 Ta
0.500 0.630 0.964 Ta
0.000 0.536 0.130 Ta
0.000 0.464 0.870 Ta
0.250 0.319 0.319 Ta
0.250 0.681 0.681 Ta
0.750 0.181 0.819 Ta
0.750 0.819 0.181 Ta
0.250 0.181 0.819 Ta
0.250 0.819 0.181 Ta
0.750 0.319 0.319 Ta
0.750 0.681 0.681 Ta
```

Values from the calculation:
- VASP energy: -12.766 eV per atom
- Total magnetic moment: 0.0 μB per cell
- Energy of formation from the pure elements: -0.326 eV per atom
- Space-group type: P4_2/mnm
- Crystal system: tetragonal